## HoSi3Pd10 (PBE-GGA)

Data for an optimized crystal structure of HoSi3Pd10.

Computed properties:
For the formation energy from raw total energies, the calculation gives -0.69 eV per atom. Its space group is Fm-3m (225). The value obtained for the theoretical density is 9.5 g cm⁻³. The calculated total energy is -165.007 eV/cell.

Unit cell a=8.6519 b=8.6519 c=8.6519 alpha=60.00 beta=60.00 gamma=60.00
Fractional coordinates of all 28 atoms:
Ho 0.2500 0.2500 0.2500
Ho 0.7500 0.7500 0.7500
Si 0.2344 0.2344 0.7656
Si 0.2344 0.7656 0.2344
Si 0.2344 0.7656 0.7656
Si 0.7656 0.2344 0.2344
Si 0.7656 0.2344 0.7656
Si 0.7656 0.7656 0.2344
Pd 0.1165 0.1165 0.1165
Pd 0.1165 0.1165 0.6505
Pd 0.1165 0.6505 0.1165
Pd 0.1559 0.5000 0.5000
Pd 0.1559 0.5000 0.8441
Pd 0.1559 0.8441 0.5000
Pd 0.3495 0.8835 0.8835
Pd 0.5000 0.1559 0.5000
Pd 0.5000 0.1559 0.8441
Pd 0.5000 0.5000 0.1559
Pd 0.5000 0.5000 0.8441
Pd 0.5000 0.8441 0.1559
Pd 0.5000 0.8441 0.5000
Pd 0.6505 0.1165 0.1165
Pd 0.8441 0.1559 0.5000
Pd 0.8441 0.5000 0.1559
Pd 0.8441 0.5000 0.5000
Pd 0.8835 0.3495 0.8835
Pd 0.8835 0.8835 0.3495
Pd 0.8835 0.8835 0.8835